(1)
The following is a DFT calculation (PBE) of an optimized crystal structure of PIrSN.

Cell lengths 10.079, 2.843, 4.122 Å; angles 90.00, 109.10, 90.00 degrees
Atoms (fractional coordinates):
P 0.000 0.000 0.000
P 0.500 0.500 0.000
Ir 0.268 0.500 0.938
Ir 0.768 0.000 0.938
S 0.236 0.000 0.419
S 0.736 0.500 0.419
N 0.050 0.500 0.839
N 0.550 0.000 0.839

## Properties
ρ (kg/m³): 8010
Electronic total energy (eV per atom): -6.623
Energy relative to the elements, uncorrected (eV/atom): 0.058
Energy relative to the lowest polymorph listed for this composition (meV per atom): 63

=====

(2)
The following is a DFT calculation (PBE) of an optimized crystal structure of PIrSN.

Cell lengths 6.549, 3.011, 6.100 Å; angles 90.00, 100.44, 90.00 degrees
Atoms (fractional coordinates):
P 0.000 0.000 0.000
P 0.500 0.500 0.000
Ir 0.232 0.500 0.196
Ir 0.732 0.000 0.196
S 0.011 0.000 0.512
S 0.511 0.500 0.512
N 0.411 0.500 0.733
N 0.911 0.000 0.733

## Properties
ρ (kg/m³): 7558
Electronic total energy (eV per atom): -6.515
Energy relative to the elements, uncorrected (eV/atom): 0.166
Energy relative to the lowest polymorph listed for this composition (meV per atom): 171

=====

(3)
The following is a DFT calculation (PBE) of an optimized crystal structure of SbPIr2N.

Cell lengths 3.958, 3.958, 5.310 Å; angles 90.00, 90.00, 90.00 degrees
Atoms (fractional coordinates):
Sb 0.000 0.000 0.000
P 0.500 0.500 0.000
Ir 0.000 0.500 0.500
Ir 0.500 0.000 0.500
N 0.000 0.000 0.500

## Properties
ρ (kg/m³): 11004
Electronic total energy (eV per atom): -6.283
Energy relative to the elements, uncorrected (eV/atom): 0.833

=====

(4)
The following is a DFT calculation (PBE) of an optimized crystal structure of PIrSe2N.

Cell lengths 5.071, 5.071, 3.654 Å; angles 90.00, 90.00, 90.00 degrees
Atoms (fractional coordinates):
P 0.000 0.000 0.000
Ir 0.500 0.500 0.500
Se 0.000 0.500 0.500
Se 0.500 0.000 0.500
N 0.500 0.500 0.000

## Properties
ρ (kg/m³): 6982
Electronic total energy (eV per atom): -5.217
Energy relative to the elements, uncorrected (eV/atom): 0.697
Energy relative to the lowest polymorph listed for this composition (meV per atom): 0

=====

(5)
The following is a DFT calculation (PBE) of an optimized crystal structure of PIrSeN2.

Cell lengths 3.685, 3.685, 8.140 Å; angles 90.00, 90.00, 90.00 degrees
Atoms (fractional coordinates):
P 0.000 0.000 0.000
Ir 0.500 0.500 0.500
Se 0.500 0.500 0.000
N 0.000 0.500 0.500
N 0.500 0.000 0.500

## Properties
ρ (kg/m³): 4960
Electronic total energy (eV per atom): -5.882
Energy relative to the elements, uncorrected (eV/atom): 1.000
Energy relative to the lowest polymorph listed for this composition (meV per atom): 0

=====

(6)
The following is a DFT calculation (PBE) of an optimized crystal structure of PIrSe2N.

Cell lengths 4.918, 4.918, 3.151 Å; angles 90.00, 90.00, 90.00 degrees
Atoms (fractional coordinates):
P 0.000 0.000 0.000
Ir 0.500 0.500 0.500
Se 0.000 0.500 0.000
Se 0.500 0.000 0.000
N 0.000 0.000 0.500

## Properties
ρ (kg/m³): 8609
Electronic total energy (eV per atom): -5.128
Energy relative to the elements, uncorrected (eV/atom): 0.785
Energy relative to the lowest polymorph listed for this composition (meV per atom): 89